A plane-wave DFT calculation with GGA-PBE was carried out for a relaxed KNp2N4 crystal. Values from VASP.

Computed properties:
Its symmetry is Cmcm. The calculated total energy is -130.77 eV/cell.

Geometry as Quantum ESPRESSO input:
```
&SYSTEM
  ibrav = 0, nat = 14, ntyp = 3
/
ATOMIC_SPECIES
K 39.10 K.upf
Np 237.00 Np.upf
N 14.01 N.upf
CELL_PARAMETERS angstrom
1.739 -5.622 0.000
1.739 5.622 0.000
0.000 0.000 11.039
ATOMIC_POSITIONS crystal
K 0.110 0.890 0.750
K 0.890 0.110 0.250
Np 0.366 0.634 0.569
Np 0.366 0.634 0.931
Np 0.634 0.366 0.069
Np 0.634 0.366 0.431
N 0.000 0.000 0.000
N 0.000 0.000 0.500
N 0.256 0.744 0.087
N 0.256 0.744 0.413
N 0.417 0.583 0.750
N 0.583 0.417 0.250
N 0.744 0.256 0.587
N 0.744 0.256 0.913
```



A plane-wave DFT calculation with GGA-PBE was carried out for a relaxed KNpN crystal. Values from VASP.

Computed properties:
Its symmetry is C2/m. The calculated total energy is -42.68 eV/cell.

Geometry as Quantum ESPRESSO input:
```
&SYSTEM
  ibrav = 0, nat = 6, ntyp = 3
/
ATOMIC_SPECIES
K 39.10 K.upf
Np 237.00 Np.upf
N 14.01 N.upf
CELL_PARAMETERS angstrom
11.350 -1.716 0.000
11.350 1.716 0.000
-0.360 0.000 3.552
ATOMIC_POSITIONS crystal
K 0.087 0.087 0.150
K 0.913 0.913 0.850
Np 0.266 0.266 0.260
Np 0.734 0.734 0.740
N 0.481 0.481 0.370
N 0.519 0.519 0.630
```



A plane-wave DFT calculation with GGA-PBE was carried out for a relaxed KNpN2 crystal. Values from VASP.

Computed properties:
The energy above the most stable polymorph in this dataset comes out at 0 meV/atom. Its symmetry is R-3m. The calculated total energy is -33.86 eV/cell.

Geometry as Quantum ESPRESSO input:
```
&SYSTEM
  ibrav = 0, nat = 4, ntyp = 3
/
ATOMIC_SPECIES
K 39.10 K.upf
Np 237.00 Np.upf
N 14.01 N.upf
CELL_PARAMETERS angstrom
1.759 1.016 6.384
-1.759 1.016 6.384
0.000 -2.031 6.384
ATOMIC_POSITIONS crystal
K 0.000 0.000 0.000
Np 0.500 0.500 0.500
N 0.219 0.219 0.219
N 0.781 0.781 0.781
```



A plane-wave DFT calculation with GGA-PBE was carried out for a relaxed K5NpN4 crystal. Values from VASP.

Computed properties:
Its symmetry is C2/m. The calculated total energy is -53.21 eV/cell.

Geometry as Quantum ESPRESSO input:
```
&SYSTEM
  ibrav = 0, nat = 10, ntyp = 3
/
ATOMIC_SPECIES
K 39.10 K.upf
Np 237.00 Np.upf
N 14.01 N.upf
CELL_PARAMETERS angstrom
9.797 -1.844 0.000
9.797 1.844 0.000
-0.406 0.000 7.612
ATOMIC_POSITIONS crystal
K 0.000 0.000 0.000
K 0.359 0.359 0.255
K 0.359 0.359 0.706
K 0.641 0.641 0.294
K 0.641 0.641 0.745
Np 0.000 0.000 0.500
N 0.097 0.097 0.513
N 0.500 0.500 0.319
N 0.500 0.500 0.681
N 0.903 0.903 0.487
```



A plane-wave DFT calculation with GGA-PBE was carried out for a relaxed K2NpN3 crystal. Values from VASP.

Computed properties:
Its symmetry is P-1. The calculated total energy is -86.47 eV/cell.

Geometry as Quantum ESPRESSO input:
```
&SYSTEM
  ibrav = 0, nat = 12, ntyp = 3
/
ATOMIC_SPECIES
K 39.10 K.upf
Np 237.00 Np.upf
N 14.01 N.upf
CELL_PARAMETERS angstrom
6.113 0.000 0.000
-3.048 5.404 0.000
-1.330 -1.828 6.436
ATOMIC_POSITIONS crystal
K 0.000 0.000 0.000
K 0.157 0.842 0.502
K 0.500 0.500 0.500
K 0.843 0.158 0.498
Np 0.335 0.672 0.000
Np 0.665 0.328 0.000
N 0.019 0.444 0.177
N 0.366 0.324 0.824
N 0.460 0.057 0.164
N 0.540 0.943 0.836
N 0.634 0.676 0.176
N 0.981 0.556 0.823
```



A plane-wave DFT calculation with GGA-PBE was carried out for a relaxed KNpN2 crystal. Values from VASP.

Computed properties:
The energy above the most stable polymorph in this dataset comes out at 36 meV/atom. Its symmetry is R3m. The calculated total energy is -33.72 eV/cell.

Geometry as Quantum ESPRESSO input:
```
&SYSTEM
  ibrav = 0, nat = 4, ntyp = 3
/
ATOMIC_SPECIES
K 39.10 K.upf
Np 237.00 Np.upf
N 14.01 N.upf
CELL_PARAMETERS angstrom
1.755 1.013 6.486
-1.755 1.013 6.486
0.000 -2.026 6.486
ATOMIC_POSITIONS crystal
K 0.000 0.000 0.000
Np 0.171 0.171 0.171
N 0.557 0.557 0.557
N 0.786 0.786 0.786
```



A plane-wave DFT calculation with GGA-PBE was carried out for a relaxed K2NpNO3 crystal. Values from VASP.

Computed properties:
Its symmetry is Immm. The calculated total energy is -51.64 eV/cell.

Geometry as Quantum ESPRESSO input:
```
&SYSTEM
  ibrav = 0, nat = 7, ntyp = 4
/
ATOMIC_SPECIES
K 39.10 K.upf
Np 237.00 Np.upf
N 14.01 N.upf
O 16.00 O.upf
CELL_PARAMETERS angstrom
-2.079 2.180 6.785
2.079 -2.180 6.785
2.079 2.180 -6.785
ATOMIC_POSITIONS crystal
K 0.153 0.153 0.000
K 0.847 0.847 0.000
Np 0.500 0.500 0.000
N 0.500 0.000 0.500
O 0.000 0.500 0.500
O 0.357 0.357 0.000
O 0.643 0.643 0.000
```



A plane-wave DFT calculation with GGA-PBE was carried out for a relaxed K4Np3OsN8 crystal. Values from VASP.

Computed properties:
Its symmetry is R-3m. The calculated total energy is -129.08 eV/cell.

Geometry as Quantum ESPRESSO input:
```
&SYSTEM
  ibrav = 0, nat = 16, ntyp = 4
/
ATOMIC_SPECIES
K 39.10 K.upf
Np 237.00 Np.upf
Os 190.23 Os.upf
N 14.01 N.upf
CELL_PARAMETERS angstrom
3.371 1.946 6.380
-3.371 1.946 6.380
0.000 -3.892 6.380
ATOMIC_POSITIONS crystal
K 0.000 0.000 0.000
K 0.000 0.500 0.500
K 0.500 0.000 0.500
K 0.500 0.500 0.000
Np 0.000 0.000 0.500
Np 0.000 0.500 0.000
Np 0.500 0.000 0.000
Os 0.500 0.500 0.500
N 0.218 0.724 0.724
N 0.221 0.221 0.221
N 0.276 0.276 0.782
N 0.276 0.782 0.276
N 0.724 0.218 0.724
N 0.724 0.724 0.218
N 0.779 0.779 0.779
N 0.782 0.276 0.276
```



A plane-wave DFT calculation with GGA-PBE was carried out for a relaxed K2NpP2N6 crystal. Values from VASP.

Computed properties:
Its symmetry is R-3m. The calculated total energy is -81.27 eV/cell.

Geometry as Quantum ESPRESSO input:
```
&SYSTEM
  ibrav = 0, nat = 11, ntyp = 4
/
ATOMIC_SPECIES
K 39.10 K.upf
Np 237.00 Np.upf
P 30.97 P.upf
N 14.01 N.upf
CELL_PARAMETERS angstrom
2.873 1.659 6.185
-2.873 1.659 6.185
0.000 -3.317 6.185
ATOMIC_POSITIONS crystal
K 0.208 0.208 0.208
K 0.792 0.792 0.792
Np 0.000 0.000 0.000
P 0.402 0.402 0.402
P 0.598 0.598 0.598
N 0.245 0.245 0.722
N 0.245 0.722 0.245
N 0.278 0.755 0.755
N 0.722 0.245 0.245
N 0.755 0.278 0.755
N 0.755 0.755 0.278
```



A plane-wave DFT calculation with GGA-PBE was carried out for a relaxed KNp2P2N6 crystal. Values from VASP.

Computed properties:
Its symmetry is C2/m. The calculated total energy is -94.54 eV/cell.

Geometry as Quantum ESPRESSO input:
```
&SYSTEM
  ibrav = 0, nat = 11, ntyp = 4
/
ATOMIC_SPECIES
K 39.10 K.upf
Np 237.00 Np.upf
P 30.97 P.upf
N 14.01 N.upf
CELL_PARAMETERS angstrom
5.512 -3.079 0.000
5.512 3.079 0.000
-3.536 0.000 5.376
ATOMIC_POSITIONS crystal
K 0.000 0.000 0.000
Np 0.315 0.315 0.698
Np 0.685 0.685 0.302
P 0.392 0.392 0.328
P 0.608 0.608 0.672
N 0.101 0.518 0.358
N 0.426 0.426 0.112
N 0.482 0.899 0.642
N 0.518 0.101 0.358
N 0.574 0.574 0.888
N 0.899 0.482 0.642
```



A plane-wave DFT calculation with GGA-PBE was carried out for a relaxed K2NpPaN4 crystal. Values from VASP.

Computed properties:
Its symmetry is P2/m. The calculated total energy is -65.82 eV/cell.

Geometry as Quantum ESPRESSO input:
```
&SYSTEM
  ibrav = 0, nat = 8, ntyp = 4
/
ATOMIC_SPECIES
K 39.10 K.upf
Np 237.00 Np.upf
Pa 231.04 Pa.upf
N 14.01 N.upf
CELL_PARAMETERS angstrom
6.159 0.000 0.000
0.000 3.588 0.000
-2.009 0.000 6.404
ATOMIC_POSITIONS crystal
K 0.000 0.000 0.000
K 0.500 0.500 0.000
Np 0.000 0.500 0.500
Pa 0.500 0.000 0.500
N 0.219 0.000 0.659
N 0.272 0.500 0.342
N 0.728 0.500 0.658
N 0.781 0.000 0.341
```



A plane-wave DFT calculation with GGA-PBE was carried out for a relaxed K4NpPa3N8 crystal. Values from VASP.

Computed properties:
Its symmetry is R-3m. The calculated total energy is -129.92 eV/cell.

Geometry as Quantum ESPRESSO input:
```
&SYSTEM
  ibrav = 0, nat = 16, ntyp = 4
/
ATOMIC_SPECIES
K 39.10 K.upf
Np 237.00 Np.upf
Pa 231.04 Pa.upf
N 14.01 N.upf
CELL_PARAMETERS angstrom
3.596 2.076 6.413
-3.596 2.076 6.413
0.000 -4.152 6.413
ATOMIC_POSITIONS crystal
K 0.000 0.000 0.000
K 0.000 0.500 0.500
K 0.500 0.000 0.500
K 0.500 0.500 0.000
Np 0.500 0.500 0.500
Pa 0.000 0.000 0.500
Pa 0.000 0.500 0.000
Pa 0.500 0.000 0.000
N 0.220 0.220 0.220
N 0.224 0.717 0.717
N 0.283 0.283 0.776
N 0.283 0.776 0.283
N 0.717 0.224 0.717
N 0.717 0.717 0.224
N 0.776 0.283 0.283
N 0.780 0.780 0.780
```



What theoretical density values result from the calculations? In sequence: 8.758; 6.964; 7.380; 2.950; 5.580; 7.301; 5.092; 7.734; 4.331; 5.998; 7.066; 6.930 g/cm3.
What magnetization values result from the calculations? In sequence: 6.0; 5.1; 2.0; 1.2; 0.0; 2.0; 0.0; 2.9; 1.0; 5.0; 2.0; 2.0 μB per cell.
What raw formation energy values result from the calculations? In sequence: -0.729; 0.340; -0.794; -0.148; -0.521; -0.757; -1.900; -0.502; -0.487; -0.617; -0.986; -1.093 eV per atom.